Entry 1:
Tm2InIr | PBE | optimized geometry

Output
DOS(E_F) (states/eV per cell): 1.21
V (Å³ per cell): 90.2
Calculated formation energy (meV/atom): -716.5
Energy above the most stable polymorph in this dataset (meV/atom): 0.0
Size of the total moment (μB/cell): 0.0

Cell: 3.484 3.484 7.431 Å, 90.00 90.00 90.00°
Positions (direct):
Tm: 0.000 0.000 0.216
Tm: 0.000 0.000 0.784
In: 0.500 0.500 0.500
Ir: 0.500 0.500 0.000


Entry 2:
K2Zr2AlS6 | PBE | optimized geometry

Output
DOS(E_F) (states/eV per cell): 2.98
V (Å³ per cell): 268.7
Formation energy (no corrections) (eV per atom): -1.4183
Size of the total moment (μB/cell): 0.0

Cell: 6.417 6.417 7.852 Å, 98.22 98.22 119.87°
Positions (direct):
K: 0.170 0.830 0.000
K: 0.830 0.170 0.000
Zr: 0.333 0.667 0.500
Zr: 0.667 0.333 0.500
Al: 0.000 0.000 0.500
S: 0.067 0.383 0.688
S: 0.251 0.251 0.315
S: 0.383 0.067 0.688
S: 0.617 0.933 0.312
S: 0.749 0.749 0.685
S: 0.933 0.617 0.312


Entry 3:
TcAs2 | PBE | optimized geometry

Output
DOS(E_F) (states/eV per cell): 7.48
V (Å³ per cell): 144.6
Calculated formation energy (meV/atom): -19.8
Energy above the most stable polymorph in this dataset (meV/atom): 171.6
Size of the total moment (μB/cell): 0.0

Cell: 7.238 7.238 3.188 Å, 90.00 90.00 120.00°
Positions (direct):
Tc: 0.000 0.000 0.000
Tc: 0.333 0.667 0.500
Tc: 0.667 0.333 0.500
As: 0.000 0.281 0.500
As: 0.000 0.615 0.000
As: 0.281 0.000 0.500
As: 0.385 0.385 0.000
As: 0.615 0.000 0.000
As: 0.719 0.719 0.500


Entry 4:
SrC2Br2 | PBE | optimized geometry

Output
DOS(E_F) (states/eV per cell): 5.13
V (Å³ per cell): 243.7
Formation energy (no corrections) (eV per atom): 1.3379
Energy above the most stable polymorph in this dataset (meV/atom): 1004.5
Size of the total moment (μB/cell): 5.0

Cell: 7.663 7.663 4.150 Å, 90.00 90.00 90.00°
Positions (direct):
Sr: 0.000 0.000 0.000
Sr: 0.500 0.500 0.000
C: 0.233 0.267 0.000
C: 0.267 0.767 0.000
C: 0.733 0.233 0.000
C: 0.767 0.733 0.000
Br: 0.181 0.681 0.500
Br: 0.319 0.181 0.500
Br: 0.681 0.819 0.500
Br: 0.819 0.319 0.500


Entry 5:
Y2Zn2I | PBE | optimized geometry

Output
DOS(E_F) (states/eV per cell): 7.77
V (Å³ per cell): 252.2
Formation energy (no corrections) (eV per atom): -0.2582
Energy above the most stable polymorph in this dataset (meV/atom): 82.5
Size of the total moment (μB/cell): 0.0

Cell: 3.845 3.845 17.058 Å, 90.00 90.00 90.00°
Positions (direct):
Y: 0.000 0.000 0.112
Y: 0.000 0.000 0.888
Y: 0.500 0.500 0.388
Y: 0.500 0.500 0.612
Zn: 0.000 0.500 0.250
Zn: 0.000 0.500 0.750
Zn: 0.500 0.000 0.250
Zn: 0.500 0.000 0.750
I: 0.000 0.000 0.500
I: 0.500 0.500 0.000


Entry 6:
Be2NiW | PBE | optimized geometry

Output
DOS(E_F) (states/eV per cell): 4.68
V (Å³ per cell): 86.2
Calculated formation energy (meV/atom): -35.1
Energy above the most stable polymorph in this dataset (meV/atom): 137.7
Size of the total moment (μB/cell): 0.0

Cell: 3.550 2.599 9.344 Å, 90.00 90.00 90.00°
Positions (direct):
Be: 0.000 0.000 0.000
Be: 0.000 0.500 0.500
Be: 0.500 0.000 0.117
Be: 0.500 0.500 0.617
Ni: 0.000 0.000 0.708
Ni: 0.000 0.500 0.208
W: 0.500 0.000 0.379
W: 0.500 0.500 0.879


Entry 7:
Na2PmY3Te6 | PBE | optimized geometry

Output
DOS(E_F) (states/eV per cell): 3.66
V (Å³ per cell): 370.8
Formation energy (no corrections) (eV per atom): -1.3399
Size of the total moment (μB/cell): 0.0

Cell: 7.637 7.637 7.768 Å, 99.44 99.44 119.97°
Positions (direct):
Na: 0.167 0.833 0.000
Na: 0.833 0.167 0.000
Pm: 0.500 0.500 0.000
Y: 0.000 0.000 0.500
Y: 0.333 0.667 0.500
Y: 0.667 0.333 0.500
Te: 0.081 0.415 0.744
Te: 0.253 0.253 0.258
Te: 0.415 0.081 0.744
Te: 0.585 0.919 0.256
Te: 0.747 0.747 0.742
Te: 0.919 0.585 0.256


Entry 8:
SbCl | PBE | optimized geometry

Output
DOS(E_F) (states/eV per cell): 4.87
V (Å³ per cell): 310.2
Formation energy (no corrections) (eV per atom): 0.5673
Energy above the most stable polymorph in this dataset (meV/atom): 1042.4
Size of the total moment (μB/cell): 0.0

Cell: 6.770 6.770 6.770 Å, 90.00 90.00 90.00°
Positions (direct):
Sb: 0.000 0.000 0.000
Sb: 0.000 0.500 0.500
Sb: 0.500 0.000 0.500
Sb: 0.500 0.500 0.000
Cl: 0.250 0.250 0.250
Cl: 0.250 0.750 0.750
Cl: 0.750 0.250 0.750
Cl: 0.750 0.750 0.250


Entry 9:
Cd6Ag4Hg | PBE | optimized geometry

Output
DOS(E_F) (states/eV per cell): 4.58
V (Å³ per cell): 233.8
Calculated formation energy (meV/atom): 21.6
Energy above the most stable polymorph in this dataset (meV/atom): 0.0
Size of the total moment (μB/cell): 0.0

Cell: 9.506 9.506 2.987 Å, 90.00 90.00 120.00°
Positions (direct):
Cd: 0.181 0.363 0.000
Cd: 0.181 0.819 0.000
Cd: 0.530 0.059 0.500
Cd: 0.530 0.470 0.500
Cd: 0.637 0.819 0.000
Cd: 0.941 0.470 0.500
Ag: 0.333 0.667 0.500
Ag: 0.338 0.169 0.000
Ag: 0.831 0.169 0.000
Ag: 0.831 0.662 0.000
Hg: 0.000 0.000 0.500


Entry 10:
PaTaC2 | PBE | optimized geometry

Output
DOS(E_F) (states/eV per cell): 4.97
V (Å³ per cell): 161.7
Calculated formation energy (meV/atom): -576.3
Energy above the most stable polymorph in this dataset (meV/atom): 29.8
Size of the total moment (μB/cell): 0.0

Cell: 3.314 3.314 16.994 Å, 90.00 90.00 120.00°
Positions (direct):
Pa: 0.000 0.000 0.000
Pa: 0.333 0.667 0.667
Pa: 0.667 0.333 0.333
Ta: 0.000 0.000 0.500
Ta: 0.333 0.667 0.167
Ta: 0.667 0.333 0.833
C: 0.000 0.000 0.240
C: 0.000 0.000 0.760
C: 0.333 0.667 0.427
C: 0.333 0.667 0.906
C: 0.667 0.333 0.094
C: 0.667 0.333 0.573


Entry 11:
NbSI3 | PBE | optimized geometry

Output
DOS(E_F) (states/eV per cell): 7.71
V (Å³ per cell): 371.4
Formation energy (no corrections) (eV per atom): -0.3719
Energy above the most stable polymorph in this dataset (meV/atom): 180.7
Size of the total moment (μB/cell): 0.0

Cell: 7.004 7.004 7.623 Å, 90.00 90.00 83.39°
Positions (direct):
Nb: 0.021 0.979 0.750
Nb: 0.979 0.021 0.250
S: 0.255 0.745 0.750
S: 0.745 0.255 0.250
I: 0.202 0.202 0.000
I: 0.202 0.202 0.500
I: 0.298 0.702 0.250
I: 0.702 0.298 0.750
I: 0.798 0.798 0.000
I: 0.798 0.798 0.500


Entry 12:
CoCu2RhW | PBE | optimized geometry

Output
DOS(E_F) (states/eV per cell): 4.79
V (Å³ per cell): 100.9
Calculated formation energy (meV/atom): 1775.2
Size of the total moment (μB/cell): 2.0

Cell: 4.662 4.662 4.642 Å, 90.00 90.00 90.00°
Positions (direct):
Co: 0.000 0.000 0.000
Cu: 0.000 0.500 0.500
Cu: 0.500 0.000 0.500
Rh: 0.500 0.500 0.000
W: 0.500 0.500 0.500


Among the records above, which one has the lowest DOS(E_F)?
Tm2InIr


Number 3 is which compound?
TcAs2